Material: HfCuB3
Method: DFT, GGA-PBE
State: relaxed

a = 4.3700 Å, b = 4.3700 Å, c = 4.3700 Å
α = 90.00°, β = 90.00°, γ = 90.00°
Sites, in units of the cell vectors:
Hf 0.0000 0.0000 0.0000
Cu 0.5000 0.5000 0.5000
B 0.0000 0.0000 0.5000
B 0.0000 0.5000 0.0000
B 0.5000 0.0000 0.0000

Output
ΔH_f (0 K) = 1.949 eV/atom
space group = Pm-3m, No. 221
M_tot = 0.000 μB/atom
energy = -0.358 Ry per atom
E above lowest polymorph = 1000 meV/atom